The following is a DFT calculation (PBE) of an optimized crystal structure of LiZn6Au3.

Calculated values
M_tot, μB per cell: 0.000
Energy above the lowest structure with this stoichiometry, eV per atom: 0.565
Electronic total energy, eV for the cell shown: -15.8
Symmetry: No. 225
E_form, meV/atom: 357

extended XYZ file:
```
10
Lattice="0.0000 4.6431 4.6431 4.6431 0.0000 4.6431 4.6431 4.6431 0.0000" Properties=species:S:1:pos:R:3 pbc="T T T"
Li 0.0000 0.0000 0.0000
Zn 4.6431 4.6431 2.1954
Zn 4.6431 2.1954 4.6431
Zn 7.0907 4.6431 4.6431
Zn 2.1954 4.6431 4.6431
Zn 4.6431 7.0907 4.6431
Zn 4.6431 4.6431 7.0907
Au 2.3215 2.3215 2.3215
Au 4.6431 4.6431 4.6431
Au 6.9646 6.9646 6.9646
```